Entry 1:
! Li2ReTc | the Alexandria database | PBE | relaxed; values from VASP
&SYSTEM
  ibrav = 0, nat = 4, ntyp = 3
/
ATOMIC_SPECIES
Li 6.94 Li.upf
Tc 98.00 Tc.upf
Re 186.21 Re.upf
ATOMIC_POSITIONS crystal
Li 0.0000 0.0000 0.9996
Li 0.5000 0.5000 0.2538
Tc 0.5000 0.5000 0.7235
Re 0.0000 0.0000 0.5231
CELL_PARAMETERS angstrom
-0.8840 2.6234 -1.2815
-2.9079 -0.9116 0.1397
-0.5620 2.6991 5.9131
! ΔE_f in meV/atom: 246
! Volume in Å³/f.u.: 60.7
! Excess energy over the best structure of this formula in the dataset in eV per atom: 0.0526
! Final energy in Ry per atom: -0.4714
! Magnetization in μB/atom: 0.00



Entry 2:
! LiReTc3 | the Alexandria database | PBE | relaxed; values from VASP
&SYSTEM
  ibrav = 0, nat = 5, ntyp = 3
/
ATOMIC_SPECIES
Tc 98.00 Tc.upf
Re 186.21 Re.upf
Li 6.94 Li.upf
ATOMIC_POSITIONS crystal
Tc 0.0000 0.0000 0.5000
Tc 0.0000 0.5000 0.0000
Tc 0.5000 0.0000 0.0000
Re 0.5000 0.5000 0.5000
Li 0.0000 0.0000 0.0000
CELL_PARAMETERS angstrom
4.0908 0.0000 0.0000
0.0000 4.0908 0.0000
0.0000 0.0000 4.0908
! ΔE_f in meV/atom: 1073
! Volume in Å³/f.u.: 68.5
! Excess energy over the best structure of this formula in the dataset in eV per atom: 0.0000
! Final energy in Ry per atom: -0.5893
! Magnetization in μB/atom: 0.00



Entry 3:
! Li2ReTc | the Alexandria database | PBE | relaxed; values from VASP
&SYSTEM
  ibrav = 0, nat = 4, ntyp = 3
/
ATOMIC_SPECIES
Re 186.21 Re.upf
Tc 98.00 Tc.upf
Li 6.94 Li.upf
ATOMIC_POSITIONS crystal
Re 0.0000 0.0000 0.5361
Tc 0.5000 0.5000 0.7116
Li 0.5000 0.5000 0.2342
Li 0.0000 0.0000 0.0181
CELL_PARAMETERS angstrom
-1.1738 -2.3106 -0.5617
0.5447 -1.2111 3.8435
-4.9567 2.1804 1.3895
! ΔE_f in meV/atom: 284
! Volume in Å³/f.u.: 60.3
! Excess energy over the best structure of this formula in the dataset in eV per atom: 0.0902
! Final energy in Ry per atom: -0.4687
! Magnetization in μB/atom: 0.00